## MnCrBiO6 (PBE+U)

Data for a geometry-optimized MnCrBiO6 structure.

Structure (CIF):
```
data_MnCrBiO6
_chemical_formula_sum 'Mn2 Cr2 Bi2 O12'
_symmetry_space_group_name_H-M 'P 42 n m'
_symmetry_Int_Tables_number 102
_cell_length_a 4.700
_cell_length_b 4.700
_cell_length_c 9.410
_cell_angle_alpha 90.00
_cell_angle_beta 90.00
_cell_angle_gamma 90.00
loop_
_symmetry_equiv_pos_as_xyz
'x,y,z'
'-y+1/2,x+1/2,z+1/2'
'-x,-y,z'
'y+1/2,-x+1/2,z+1/2'
'-x+1/2,y+1/2,z+1/2'
'y,x,z'
'x+1/2,-y+1/2,z+1/2'
'-y,-x,z'
loop_
_atom_site_label
_atom_site_fract_x
_atom_site_fract_y
_atom_site_fract_z
Mn1 0.000 0.000 0.000
Cr1 0.000 0.000 0.332
Bi1 0.000 0.000 0.665
O1 0.179 0.179 0.161
O2 0.196 0.196 0.845
O3 0.205 0.205 0.491
```

Summary:
VASP energy: -119.9 eV/cell
magnetic moment: 11.995 Bohr magnetons per cell
N(E_F): 1.92 states/eV per cell